Computed, not measured: a geometry-optimized TmGaSi2Ni5 structure at the PBE level of DFT.

The total energy comes out at -0.2034 Ha/atom. For the magnetization, the calculation gives 0.000 μB/f.u.

It has space group P4/mmm (No. 123), with a = 4.233 Å, b = 4.233 Å, c = 7.095 Å, α = 90.00°, β = 90.00° and γ = 90.00°. Symmetry generates all atoms from Tm at (0.000, 0.000, 0.000), Ga at (0.000, 0.000, 0.500), Si at (0.500, 0.500, 0.338), Ni at (0.000, 0.500, 0.238) and Ni at (0.500, 0.500, 0.000).